DFT (PBE-GGA) results for a relaxed structure of LiGdHgGe.

Magnetization (μB per cell): 6.984
Crystal system: cubic
Calculated formation energy (kJ/mol of atoms): -49.5
N(E_F) (states/eV/f.u.): 1.195

The structure in extended XYZ format:
```
4
Lattice="0.0000 3.5208 3.5208 3.5208 0.0000 3.5208 3.5208 3.5208 0.0000" Properties=species:S:1:pos:R:3 pbc="T T T"
Li 0.0000 0.0000 0.0000
Gd 3.5208 3.5208 3.5208
Hg 5.2813 5.2813 5.2813
Ge 1.7604 1.7604 1.7604
```



DFT (PBE-GGA) results for a relaxed structure of PmGdHgGe.

Magnetization (μB per cell): 7.457
Crystal system: cubic
Calculated formation energy (kJ/mol of atoms): -55.6
N(E_F) (states/eV/f.u.): 3.198

The structure in extended XYZ format:
```
4
Lattice="0.0000 3.7072 3.7072 3.7072 0.0000 3.7072 3.7072 3.7072 0.0000" Properties=species:S:1:pos:R:3 pbc="T T T"
Pm 0.0000 0.0000 0.0000
Gd 3.7072 3.7072 3.7072
Hg 5.5608 5.5608 5.5608
Ge 1.8536 1.8536 1.8536
```



DFT (PBE-GGA) results for a relaxed structure of GdScHgGe.

Magnetization (μB per cell): 7.520
Crystal system: cubic
Calculated formation energy (kJ/mol of atoms): -50.7
N(E_F) (states/eV/f.u.): 2.893

The structure in extended XYZ format:
```
4
Lattice="0.0000 3.5726 3.5726 3.5726 0.0000 3.5726 3.5726 3.5726 0.0000" Properties=species:S:1:pos:R:3 pbc="T T T"
Gd 0.0000 0.0000 0.0000
Sc 3.5726 3.5726 3.5726
Hg 5.3589 5.3589 5.3589
Ge 1.7863 1.7863 1.7863
```



DFT (PBE-GGA) results for a relaxed structure of SmGdHgGe.

Magnetization (μB per cell): 7.477
Crystal system: cubic
Calculated formation energy (kJ/mol of atoms): -55.5
N(E_F) (states/eV/f.u.): 2.898

The structure in extended XYZ format:
```
4
Lattice="0.0000 3.6984 3.6984 3.6984 0.0000 3.6984 3.6984 3.6984 0.0000" Properties=species:S:1:pos:R:3 pbc="T T T"
Sm 0.0000 0.0000 0.0000
Gd 3.6984 3.6984 3.6984
Hg 5.5476 5.5476 5.5476
Ge 1.8492 1.8492 1.8492
```



DFT (PBE-GGA) results for a relaxed structure of GdSnHgGe.

Magnetization (μB per cell): 7.211
Crystal system: cubic
Calculated formation energy (kJ/mol of atoms): -25.6
N(E_F) (states/eV/f.u.): 2.735

The structure in extended XYZ format:
```
4
Lattice="0.0000 3.6692 3.6692 3.6692 0.0000 3.6692 3.6692 3.6692 0.0000" Properties=species:S:1:pos:R:3 pbc="T T T"
Gd 0.0000 0.0000 0.0000
Sn 3.6692 3.6692 3.6692
Hg 5.5038 5.5038 5.5038
Ge 1.8346 1.8346 1.8346
```



DFT (PBE-GGA) results for a relaxed structure of SrGdHgGe.

Magnetization (μB per cell): 7.155
Crystal system: cubic
Calculated formation energy (kJ/mol of atoms): -48.7
N(E_F) (states/eV/f.u.): 5.245

The structure in extended XYZ format:
```
4
Lattice="0.0000 3.8001 3.8001 3.8001 0.0000 3.8001 3.8001 3.8001 0.0000" Properties=species:S:1:pos:R:3 pbc="T T T"
Sr 0.0000 0.0000 0.0000
Gd 3.8001 3.8001 3.8001
Hg 1.9000 1.9000 1.9000
Ge 5.7001 5.7001 5.7001
```



DFT (PBE-GGA) results for a relaxed structure of TbGdHgGe.

Magnetization (μB per cell): 7.507
Crystal system: cubic
Calculated formation energy (kJ/mol of atoms): -55.1
N(E_F) (states/eV/f.u.): 2.950

The structure in extended XYZ format:
```
4
Lattice="0.0000 3.6716 3.6716 3.6716 0.0000 3.6716 3.6716 3.6716 0.0000" Properties=species:S:1:pos:R:3 pbc="T T T"
Tb 0.0000 0.0000 0.0000
Gd 3.6716 3.6716 3.6716
Hg 5.5074 5.5074 5.5074
Ge 1.8358 1.8358 1.8358
```



DFT (PBE-GGA) results for a relaxed structure of GdThHgGe.

Magnetization (μB per cell): 7.417
Crystal system: cubic
Calculated formation energy (kJ/mol of atoms): -42.6
N(E_F) (states/eV/f.u.): 4.049

The structure in extended XYZ format:
```
4
Lattice="0.0000 3.7261 3.7261 3.7261 0.0000 3.7261 3.7261 3.7261 0.0000" Properties=species:S:1:pos:R:3 pbc="T T T"
Gd 0.0000 0.0000 0.0000
Th 3.7261 3.7261 3.7261
Hg 1.8631 1.8631 1.8631
Ge 5.5892 5.5892 5.5892
```



- Which of these has the lowest N(E_F)?
  LiGdHgGe